VASP calculation (PBE) on crystalline BaZr4In at its relaxed geometry.

a b c (Å): 6.095 6.095 6.095
angles (deg): 60.00 60.00 60.00
Atoms (fractional coordinates):
Ba 0.000 0.000 0.000
Zr 0.374 0.374 0.374
Zr 0.374 0.374 0.877
Zr 0.374 0.877 0.374
Zr 0.877 0.374 0.374
In 0.750 0.750 0.750

Calculated values
The value obtained for the density of states at the Fermi level is 10.33 states/eV per cell. The total energy is -6.0920 eV/atom.